#1
# Ca2EuZn, relaxed, DFT PBE-GGA
# * total moment: 7.18 μB/f.u.
data_Ca2EuZn
_cell_length_a 5.637
_cell_length_b 5.637
_cell_length_c 5.637
_cell_angle_alpha 60.00
_cell_angle_beta 60.00
_cell_angle_gamma 60.00
_symmetry_space_group_name_H-M 'P 1'
_symmetry_Int_Tables_number 1
_symmetry_space_group_name_Hall 'P 1'
loop_
_atom_site_label
_atom_site_type_symbol
_atom_site_fract_x
_atom_site_fract_y
_atom_site_fract_z
Ca1 Ca 0.250 0.250 0.250
Ca2 Ca 0.750 0.750 0.750
Eu1 Eu 0.000 0.000 0.000
Zn1 Zn 0.500 0.500 0.500

---

#2
# Ca2EuZn, relaxed, DFT PBE-GGA
# * total moment: 8.04 μB/f.u.
data_Ca2EuZn
_cell_length_a 3.741
_cell_length_b 3.741
_cell_length_c 9.628
_cell_angle_alpha 90.00
_cell_angle_beta 90.00
_cell_angle_gamma 90.00
_symmetry_space_group_name_H-M 'P 1'
_symmetry_Int_Tables_number 1
_symmetry_space_group_name_Hall 'P 1'
loop_
_atom_site_label
_atom_site_type_symbol
_atom_site_fract_x
_atom_site_fract_y
_atom_site_fract_z
Ca1 Ca 0.000 0.000 0.185
Ca2 Ca 0.000 0.000 0.815
Eu1 Eu 0.500 0.500 0.500
Zn1 Zn 0.500 0.500 0.000

---

Stability verdict: #2, ahead by 166 meV per atom

---

#1
# CaF2, relaxed, DFT PBE-GGA
# * total moment: 0.00 μB/f.u.
data_CaF2
_cell_length_a 3.536
_cell_length_b 4.163
_cell_length_c 5.976
_cell_angle_alpha 90.00
_cell_angle_beta 90.00
_cell_angle_gamma 90.00
_symmetry_space_group_name_H-M 'P 1'
_symmetry_Int_Tables_number 1
_symmetry_space_group_name_Hall 'P 1'
loop_
_atom_site_label
_atom_site_type_symbol
_atom_site_fract_x
_atom_site_fract_y
_atom_site_fract_z
Ca1 Ca 0.000 0.144 0.000
Ca2 Ca 0.000 0.856 0.500
F1 F 0.000 0.368 0.649
F2 F 0.000 0.632 0.149
F3 F 0.500 0.087 0.277
F4 F 0.500 0.913 0.777

---

#2
# CaF2, relaxed, DFT PBE-GGA
# * total moment: 0.00 μB/f.u.
data_CaF2
_cell_length_a 3.746
_cell_length_b 3.746
_cell_length_c 3.021
_cell_angle_alpha 90.00
_cell_angle_beta 90.00
_cell_angle_gamma 90.00
_symmetry_space_group_name_H-M 'P 1'
_symmetry_Int_Tables_number 1
_symmetry_space_group_name_Hall 'P 1'
loop_
_atom_site_label
_atom_site_type_symbol
_atom_site_fract_x
_atom_site_fract_y
_atom_site_fract_z
Ca1 Ca 0.000 0.000 0.000
F1 F 0.000 0.500 0.500
F2 F 0.500 0.000 0.500

---

Stability verdict: #1, ahead by 58 meV per atom